This record from the Alexandria database describes a geometry-optimized MgNiF2 structure. The functional is GGA+U.

The structure in POSCAR format:
```
MgNiF2
1.0
0.000 2.804 2.804
2.804 0.000 2.804
2.804 2.804 0.000
Ni F Mg
1 2 1
Cartesian
2.804 2.804 2.804
1.402 1.402 1.402
4.205 4.205 4.205
0.000 0.000 0.000
```

Results
* energy above the lowest structure with this stoichiometry: 1026 meV per atom
* VASP energy: -3.016 eV per atom
* space group: Fm-3m (225)
* Fermi-level density of states: 5.76 states/eV per cell
* theoretical density: 4.56 Mg/m³